1.
Below is a relaxed structure of Ca2NiW, with properties calculated at the PBE-GGA level.

## Properties
Polymorph energy (0 for the lowest one) ... 0.07 kcal/mol of atoms
DOS(E_F) ... 5.2 states/eV per cell
ΔH_f (0 K) ... 0.3932 eV/atom

Lattice parameters (Å, degrees): 8.217 8.217 8.217 28.45 28.45 28.45
Positions (direct):
1 Ca 0.000 0.000 0.000
2 Ca 0.184 0.184 0.184
3 Ni 0.759 0.759 0.759
4 W 0.425 0.425 0.425



2.
Below is a relaxed structure of Nb3VIr, with properties calculated at the PBE-GGA level.

## Properties
Polymorph energy (0 for the lowest one) ... 0.00 kcal/mol of atoms
DOS(E_F) ... 6.7 states/eV per cell
ΔH_f (0 K) ... 1.0108 eV/atom

Lattice parameters (Å, degrees): 4.552 4.552 4.552 90.00 90.00 90.00
Positions (direct):
1 Nb 0.000 0.000 0.500
2 Nb 0.000 0.500 0.000
3 Nb 0.500 0.000 0.000
4 V 0.000 0.000 0.000
5 Ir 0.500 0.500 0.500



3.
Below is a relaxed structure of BeNbVOs2, with properties calculated at the PBE-GGA level.

## Properties
DOS(E_F) ... 6.7 states/eV per cell
ΔH_f (0 K) ... 0.4987 eV/atom

Lattice parameters (Å, degrees): 4.114 4.114 4.286 90.00 90.00 90.00
Positions (direct):
1 Be 0.000 0.000 0.000
2 Nb 0.000 0.000 0.500
3 V 0.500 0.500 0.500
4 Os 0.000 0.500 0.000
5 Os 0.500 0.000 0.000



4.
Below is a relaxed structure of CuSi, with properties calculated at the PBE-GGA level.

## Properties
DOS(E_F) ... 1.7 states/eV per cell
Formation energy from raw total energies ... 0.0861 eV per atom

Lattice parameters (Å, degrees): 2.710 4.648 4.508 90.00 106.45 90.00
Positions (direct):
1 Cu 0.224 0.250 0.418
2 Cu 0.776 0.750 0.582
3 Si 0.064 0.750 0.127
4 Si 0.936 0.250 0.873



5.
Below is a relaxed structure of Sm3B4Os2, with properties calculated at the PBE-GGA level.

## Properties
DOS(E_F) ... 5.8 states/eV per cell
ΔH_f (0 K) ... -0.2882 eV/atom

Lattice parameters (Å, degrees): 6.086 6.086 7.828 116.27 116.27 37.59
Positions (direct):
1 Sm 0.000 0.000 0.000
2 Sm 0.362 0.362 0.258
3 Sm 0.638 0.638 0.742
4 B 0.124 0.124 0.404
5 B 0.319 0.319 0.888
6 B 0.681 0.681 0.112
7 B 0.876 0.876 0.596
8 Os 0.322 0.322 0.640
9 Os 0.678 0.678 0.360



6.
Below is a relaxed structure of Zr2MnAu, with properties calculated at the PBE-GGA level.

## Properties
Polymorph energy (0 for the lowest one) ... 14.85 kcal/mol of atoms
DOS(E_F) ... 11.0 states/eV per cell
ΔH_f (0 K) ... 0.3440 eV/atom

Lattice parameters (Å, degrees): 10.367 10.367 10.367 157.28 157.28 32.35
Positions (direct):
1 Zr 0.123 0.625 0.998
2 Zr 0.375 0.373 0.498
3 Zr 0.627 0.125 0.002
4 Zr 0.875 0.877 0.502
5 Mn 0.000 0.000 0.000
6 Mn 0.750 0.250 0.500
7 Au 0.250 0.750 0.500
8 Au 0.500 0.500 0.000



7.
Below is a relaxed structure of In4Mo5, with properties calculated at the PBE-GGA level.

## Properties
DOS(E_F) ... 8.0 states/eV per cell
ΔH_f (0 K) ... 0.4259 eV/atom

Lattice parameters (Å, degrees): 7.029 7.029 7.029 93.70 93.70 150.56
Positions (direct):
1 In 0.000 0.315 0.315
2 In 0.000 0.685 0.685
3 In 0.315 0.000 0.315
4 In 0.685 0.000 0.685
5 Mo 0.000 0.000 0.000
6 Mo 0.329 0.329 0.659
7 Mo 0.329 0.671 0.000
8 Mo 0.671 0.329 0.000
9 Mo 0.671 0.671 0.341



8.
Below is a relaxed structure of HfScPt4, with properties calculated at the PBE-GGA level.

## Properties
Polymorph energy (0 for the lowest one) ... 2.82 kcal/mol of atoms
DOS(E_F) ... 3.5 states/eV per cell
ΔH_f (0 K) ... -0.8854 eV/atom

Lattice parameters (Å, degrees): 3.968 3.968 7.539 90.00 90.00 90.00
Positions (direct):
1 Hf 0.000 0.000 0.000
2 Sc 0.500 0.500 0.500
3 Pt 0.000 0.500 0.246
4 Pt 0.000 0.500 0.754
5 Pt 0.500 0.000 0.246
6 Pt 0.500 0.000 0.754



What spin magnetization values result from the calculations? In sequence: 0.00, 0.00, 0.00, 0.00, 0.00, 2.99, 0.00, 0.00 μB/f.u..